Nd8MgBi6: optimized geometry, PBE-GGA.

- ΔH_f (0 K) (eV per atom) = -0.65
- space-group type = No. 148
- crystal system = trigonal
- magnetic moment (Bohr magnetons per cell) = 0.01
- VASP energy (Ha/atom) = -0.178
- Fermi-level density of states (states/eV/atom) = 1.03

Lattice parameters (Å, degrees): 9.570 9.570 8.580 56.11 56.11 60.00
Positions (direct):
Nd: 0.627 0.191 0.280
Nd: 0.809 0.098 0.720
Nd: 0.098 0.373 0.720
Nd: 0.668 0.668 0.995
Nd: 0.332 0.332 0.005
Nd: 0.902 0.627 0.280
Nd: 0.191 0.902 0.280
Nd: 0.373 0.809 0.720
Mg: 0.000 0.000 0.000
Bi: 0.448 0.074 0.773
Bi: 0.926 0.295 0.227
Bi: 0.295 0.552 0.227
Bi: 0.705 0.448 0.773
Bi: 0.074 0.705 0.773
Bi: 0.552 0.926 0.227